Below is an optimized crystal structure of MgCoNi2, with properties calculated at the PBE level.

Cell lengths 8.4034, 8.4034, 8.4034 Å; angles 17.98, 17.98, 17.98 degrees
With the nearest neighbours (Å) after each atom.
Sites, in units of the cell vectors:
Mg 0.0000 0.0000 0.0000  6 Mg 2.63, 6 Ni 2.64
Co 0.5000 0.5000 0.5000  6 Ni 2.48, 6 Co 2.63
Ni 0.2460 0.2460 0.2460  3 Co 2.48, 6 Ni 2.63, 3 Mg 2.64
Ni 0.7540 0.7540 0.7540  3 Co 2.48, 6 Ni 2.63, 3 Mg 2.64

Output
For the total energy, the calculation gives -19.8 eV per cell. As for the volume: 12.341 Å³/atom. As for the total magnetization: 0.52 μB/atom. As for the space group: R-3m.